No. 1
RbZrNiSe4: optimized geometry, PBE.

- Uncorrected formation energy: -850 meV per atom
- Crystal system: monoclinic
- Symmetry: No. 11
- N(E_F): 0.764 states/eV per atom

Cell lengths 6.7442, 5.7840, 9.6508 Å; angles 90.00, 107.08, 90.00 degrees
Fractional coordinates of all 14 atoms:
Rb  0.2266  0.2500  0.0457
Rb  0.7734  0.7500  0.9543
Zr  0.2710  0.2500  0.5571
Zr  0.7290  0.7500  0.4429
Ni  0.2681  0.7500  0.3380
Ni  0.7319  0.2500  0.6620
Se  0.0069  0.5022  0.6823
Se  0.0069  0.9978  0.6823
Se  0.4292  0.7500  0.5860
Se  0.4622  0.7500  0.1768
Se  0.5378  0.2500  0.8232
Se  0.5708  0.2500  0.4140
Se  0.9931  0.0022  0.3177
Se  0.9931  0.4978  0.3177

=====

No. 2
NaZr: optimized geometry, PBE.

- ΔE to the lowest computed polymorph: 44.0 meV/atom
- Crystal system: monoclinic
- Symmetry: No. 8
- N(E_F): 0.981 states/eV per atom
- Energy of formation: 227 meV/atom

Cell lengths 3.2666, 3.2666, 11.7842 Å; angles 90.07, 90.07, 59.94 degrees
Fractional coordinates of all 4 atoms:
Na  0.0000  0.0000  0.0000
Na  0.6599  0.6599  0.2793
Zr  0.3312  0.3312  0.7426
Zr  0.9953  0.9953  0.5374

=====

No. 3
BeP3Ru: optimized geometry, PBE.

- ΔE to the lowest computed polymorph: 0.0 meV/atom
- Crystal system: cubic
- Symmetry: No. 221
- N(E_F): 0.828 states/eV per atom
- Energy of formation: 847 meV/atom

Cell lengths 4.1281, 4.1281, 4.1281 Å; angles 90.00, 90.00, 90.00 degrees
Fractional coordinates of all 5 atoms:
Be  0.0000  0.0000  0.0000
P  0.0000  0.0000  0.5000
P  0.0000  0.5000  0.0000
P  0.5000  0.0000  0.0000
Ru  0.5000  0.5000  0.5000

=====

No. 4
ZnCdNiPd: optimized geometry, PBE.

- Crystal system: cubic
- Symmetry: No. 216
- N(E_F): 0.505 states/eV per atom
- Energy of formation: -195 meV/atom

Cell lengths 4.4056, 4.4056, 4.4056 Å; angles 60.00, 60.00, 60.00 degrees
Fractional coordinates of all 4 atoms:
Zn  0.0000  0.0000  0.0000
Cd  0.5000  0.5000  0.5000
Ni  0.2500  0.2500  0.2500
Pd  0.7500  0.7500  0.7500

=====

No. 5
PmNd2YMg: optimized geometry, PBE.

- Crystal system: orthorhombic
- Symmetry: No. 51
- N(E_F): 1.668 states/eV per atom
- Energy of formation: 155 meV/atom

Cell lengths 6.0321, 7.5363, 7.2776 Å; angles 90.00, 90.00, 90.00 degrees
Fractional coordinates of all 10 atoms:
Pm  0.2500  0.0000  0.1613
Pm  0.7500  0.0000  0.8387
Nd  0.2500  0.2157  0.6934
Nd  0.2500  0.7843  0.6934
Nd  0.7500  0.2157  0.3066
Nd  0.7500  0.7843  0.3066
Y  0.2500  0.5000  0.3737
Y  0.7500  0.5000  0.6263
Mg  0.0000  0.5000  0.0000
Mg  0.5000  0.5000  0.0000

=====

No. 6
Ba2MgHPd: optimized geometry, PBE.

- ΔE to the lowest computed polymorph: 0.0 meV/atom
- Crystal system: tetragonal
- Symmetry: No. 123
- N(E_F): 0.470 states/eV per atom

Cell lengths 5.4871, 5.4871, 4.4355 Å; angles 90.00, 90.00, 90.00 degrees
Fractional coordinates of all 5 atoms:
Ba  0.0000  0.5000  0.0000
Ba  0.5000  0.0000  0.0000
Mg  0.0000  0.0000  0.5000
H  0.0000  0.0000  0.0000
Pd  0.5000  0.5000  0.5000